## CaHg2As (PBE-GGA)

Data for a geometry-optimized CaHg2As structure.

The structure in POSCAR format:
```
CaHg2As
1.0
-3.9173 -0.4018 -1.1174
-1.0547 -0.9554 4.0409
-1.4085 5.2240 3.0594
Hg As Ca
2 1 1
Cartesian
-2.7385 0.4831 1.9293
-0.1056 0.2372 0.2848
-1.1056 2.7567 2.8846
-3.6624 2.5241 4.4343
```


## CaHg3As (PBE-GGA)

Data for a geometry-optimized CaHg3As structure.

## Properties
The calculation puts the energy above the most stable polymorph in this dataset at 459 meV per atom.

The structure in POSCAR format:
```
CaHg3As
1.0
-2.3874 -1.0027 5.2757
-1.1678 -5.5384 -1.5812
5.2416 -1.6907 2.0506
Hg As Ca
3 1 1
Cartesian
-0.5839 -2.7692 -0.7906
-1.1937 -0.5014 2.6378
2.6208 -0.8453 1.0253
0.8432 -4.1159 2.8726
0.0000 0.0000 0.0000
```


## Ca2HgAs (PBE-GGA)

Data for a geometry-optimized Ca2HgAs structure.

## Properties
The calculation puts the energy above the most stable polymorph in this dataset at 545 meV per atom.

The structure in POSCAR format:
```
Ca2HgAs
1.0
-2.7824 -3.0676 3.3441
2.0873 -4.5564 1.7936
1.4926 -0.4211 5.0921
Ca As Hg
2 1 1
Cartesian
0.0000 0.0000 0.0000
0.1994 -2.0113 2.5575
0.3988 -4.0226 5.1149
0.5982 -6.0339 7.6724
```


## Ca2HgAs (PBE-GGA)

Data for a geometry-optimized Ca2HgAs structure.

## Properties
The calculation puts the energy above the most stable polymorph in this dataset at 42 meV per atom.

The structure in POSCAR format:
```
Ca2HgAs
1.0
-0.6479 -4.1315 2.7654
-1.3576 -1.9748 -3.2684
4.6780 -1.4487 -1.0685
Ca Hg As
2 1 1
Cartesian
1.2621 -2.8562 0.5734
3.9229 -1.5142 -1.3431
0.9037 -1.7765 -2.4423
2.9221 -4.5688 -1.5963
```


## Ca3HgAs (PBE-GGA)

Data for a geometry-optimized Ca3HgAs structure.

## Properties
The calculation puts the energy above the most stable polymorph in this dataset at 0 meV per atom.

The structure in POSCAR format:
```
Ca3HgAs
1.0
-3.6235 4.2392 0.4025
-3.2476 -3.0930 3.3390
2.7542 1.9301 4.4667
Ca As Hg
3 1 1
Cartesian
-1.8118 2.1196 0.2012
-1.6238 -1.5465 1.6695
1.3771 0.9651 2.2333
0.0000 0.0000 0.0000
-2.0584 1.5382 4.1041
```


## Ca2HgAs (PBE-GGA)

Data for a geometry-optimized Ca2HgAs structure.

## Properties
The calculation puts the energy above the most stable polymorph in this dataset at 37 meV per atom.

The structure in POSCAR format:
```
Ca2HgAs
1.0
4.4395 -0.0273 0.0361
2.2657 3.8179 0.0361
2.1332 1.2060 7.0472
Ca As Hg
2 1 1
Cartesian
4.4281 2.5033 3.2444
6.6963 3.7856 0.3877
2.2096 1.2492 1.7799
6.6288 3.7475 5.3396
```


## CaHg2As (PBE-GGA)

Data for a geometry-optimized CaHg2As structure.

The structure in POSCAR format:
```
CaHg2As
1.0
-5.1267 -6.4820 1.8397
3.8265 -4.7035 -5.9093
1.2654 -6.5415 -0.0393
Hg Ca As
4 2 2
Cartesian
2.2926 -5.1002 -3.5541
-0.0203 -14.9004 -3.8504
-2.6351 -6.5597 0.4822
0.2932 -8.8938 -1.2956
2.2209 -8.4189 -3.9917
-0.6501 -5.5928 -2.0348
0.0000 0.0000 0.0000
-2.2557 -9.3081 -0.1172
```


## CaHg2As2 (PBE-GGA)

Data for a geometry-optimized CaHg2As2 structure.

The structure in POSCAR format:
```
CaHg2As2
1.0
4.7384 0.0000 0.0000
0.0000 4.7384 0.0000
2.3692 2.3692 5.6752
As Ca Hg
2 1 2
Cartesian
2.3692 4.7384 2.8376
4.7384 2.3692 2.8376
0.0000 0.0000 0.0000
2.3692 2.3692 1.3496
4.7384 4.7384 4.3255
```


Result set for total DFT energy (no corrections): -2.25 -0.96 -2.53 -3.04 -2.78 -3.04 -2.12 -2.51 eV per atom, one per record in the order listed.
Result set for formation energy: -0.43 0.55 -0.30 -0.80 -0.58 -0.80 -0.31 -0.13 eV per atom, one per record in the order listed.
Result set for D(E_F): 0.57 1.18 0.36 0.26 0.68 0.52 1.16 0.33 states/eV per atom, one per record in the order listed.